Compound: BaNiIr
Source: Alexandria via LeMat-Bulk
Functional: PBE
Structure: optimized geometry

The excess energy over the best structure of this formula in the dataset is 132.55 kJ/mol of atoms. The value obtained for the theoretical density is 8.571 g cm⁻³. Its formation enthalpy at 0 K is 1.4024 eV per atom. The calculation puts the total magnetization at 0.713 μB per formula unit.

CIF file:
```
data_BaNiIr
_space_group_name_H-M_alt 'F -4 3 m'
_space_group_IT_number 216
_space_group_name_Hall 'F -4 2 3'
_cell_length_a 6.701
_cell_length_b 6.701
_cell_length_c 6.701
_cell_angle_alpha 90.00
_cell_angle_beta 90.00
_cell_angle_gamma 90.00
loop_
_atom_site_label
_atom_site_fract_x
_atom_site_fract_y
_atom_site_fract_z
Ba1 0.000 0.000 0.000
Ni1 0.250 0.250 0.750
Ir1 0.250 0.250 0.250
```

Compound: Ba2NiIr
Source: Alexandria via LeMat-Bulk
Functional: PBE
Structure: optimized geometry

The excess energy over the best structure of this formula in the dataset is 46.10 kJ/mol of atoms. The value obtained for the theoretical density is 7.867 g cm⁻³. Its formation enthalpy at 0 K is 0.3249 eV per atom. The calculation puts the total magnetization at 0.633 μB per formula unit.

CIF file:
```
data_Ba2NiIr
_space_group_name_H-M_alt 'P 4/m m m'
_space_group_IT_number 123
_space_group_name_Hall '-P 4 2'
_cell_length_a 5.440
_cell_length_b 5.440
_cell_length_c 3.749
_cell_angle_alpha 90.00
_cell_angle_beta 90.00
_cell_angle_gamma 90.00
loop_
_atom_site_label
_atom_site_fract_x
_atom_site_fract_y
_atom_site_fract_z
Ba1 0.000 0.500 0.000
Ni1 0.000 0.000 0.500
Ir1 0.500 0.500 0.500
```

Compound: Ba2NiIr
Source: Alexandria via LeMat-Bulk
Functional: PBE
Structure: optimized geometry

The excess energy over the best structure of this formula in the dataset is 59.41 kJ/mol of atoms. The value obtained for the theoretical density is 8.211 g cm⁻³. Its formation enthalpy at 0 K is 0.4629 eV per atom. The calculation puts the total magnetization at 0.059 μB per formula unit.

CIF file:
```
data_Ba2NiIr
_space_group_name_H-M_alt 'I -4 m 2'
_space_group_IT_number 119
_space_group_name_Hall 'I -4 -2'
_cell_length_a 4.533
_cell_length_b 4.533
_cell_length_c 10.343
_cell_angle_alpha 90.00
_cell_angle_beta 90.00
_cell_angle_gamma 90.00
loop_
_atom_site_label
_atom_site_fract_x
_atom_site_fract_y
_atom_site_fract_z
Ba1 0.000 0.000 0.000
Ba2 0.000 0.500 0.250
Ni1 0.000 0.000 0.500
Ir1 0.000 0.500 0.750
```

Compound: Ba2NiIr
Source: Alexandria via LeMat-Bulk
Functional: PBE
Structure: optimized geometry

The excess energy over the best structure of this formula in the dataset is 0.00 kJ/mol of atoms. The value obtained for the theoretical density is 6.226 g cm⁻³. Its formation enthalpy at 0 K is -0.1528 eV per atom. The calculation puts the total magnetization at 0.321 μB per formula unit.

CIF file:
```
data_Ba2NiIr
_space_group_name_H-M_alt 'R 3 m'
_space_group_IT_number 160
_space_group_name_Hall 'R 3 -2"'
_cell_length_a 4.3263
_cell_length_b 4.3263
_cell_length_c 25.9409
_cell_angle_alpha 90.00
_cell_angle_beta 90.00
_cell_angle_gamma 120.00
loop_
_atom_site_label
_atom_site_fract_x
_atom_site_fract_y
_atom_site_fract_z
Ba1 0.0000 0.0000 0.0000
Ba2 0.0000 0.0000 0.1594
Ni1 0.0000 0.0000 0.4130
Ir1 0.0000 0.0000 0.7464
```

Compound: Ba2NiIr
Source: Alexandria via LeMat-Bulk
Functional: PBE
Structure: optimized geometry

The excess energy over the best structure of this formula in the dataset is 7.33 kJ/mol of atoms. The value obtained for the theoretical density is 7.170 g cm⁻³. Its formation enthalpy at 0 K is -0.0768 eV per atom. The calculation puts the total magnetization at 0.140 μB per formula unit.

CIF file:
```
data_Ba2NiIr
_space_group_name_H-M_alt 'A m m 2'
_space_group_IT_number 38
_space_group_name_Hall 'A 2 -2'
_cell_length_a 4.485
_cell_length_b 4.804
_cell_length_c 11.299
_cell_angle_alpha 90.00
_cell_angle_beta 90.00
_cell_angle_gamma 90.00
loop_
_atom_site_label
_atom_site_fract_x
_atom_site_fract_y
_atom_site_fract_z
Ba1 0.000 0.000 0.000
Ba2 0.500 0.000 0.287
Ni1 0.500 0.000 0.608
Ir1 0.000 0.000 0.679
```

Compound: BaNi3Ir
Source: Alexandria via LeMat-Bulk
Functional: PBE
Structure: optimized geometry

The excess energy over the best structure of this formula in the dataset is 176.90 kJ/mol of atoms. The value obtained for the theoretical density is 8.054 g cm⁻³. Its formation enthalpy at 0 K is 2.2901 eV per atom. The calculation puts the total magnetization at 0.670 μB per formula unit.

CIF file:
```
data_BaNi3Ir
_space_group_name_H-M_alt 'P m -3 m'
_space_group_IT_number 221
_space_group_name_Hall '-P 4 2 3'
_cell_length_a 4.706
_cell_length_b 4.706
_cell_length_c 4.706
_cell_angle_alpha 90.00
_cell_angle_beta 90.00
_cell_angle_gamma 90.00
loop_
_atom_site_label
_atom_site_fract_x
_atom_site_fract_y
_atom_site_fract_z
Ba1 0.000 0.000 0.000
Ni1 0.000 0.000 0.500
Ir1 0.500 0.500 0.500
```

Compound: BaNiIr
Source: Alexandria via LeMat-Bulk
Functional: PBE
Structure: optimized geometry

The excess energy over the best structure of this formula in the dataset is 4.22 kJ/mol of atoms. The value obtained for the theoretical density is 8.632 g cm⁻³. Its formation enthalpy at 0 K is 0.0724 eV per atom. The calculation puts the total magnetization at 0.000 μB per formula unit.

CIF file:
```
data_BaNiIr
_space_group_name_H-M_alt 'F m m m'
_space_group_IT_number 69
_space_group_name_Hall '-F 2 2'
_cell_length_a 5.640
_cell_length_b 6.834
_cell_length_c 15.498
_cell_angle_alpha 90.00
_cell_angle_beta 90.00
_cell_angle_gamma 90.00
loop_
_atom_site_label
_atom_site_fract_x
_atom_site_fract_y
_atom_site_fract_z
Ba1 0.000 0.000 0.152
Ni1 0.000 0.000 0.423
Ir1 0.250 0.250 0.000
```

Compound: Ba8Ni2Ir
Source: Alexandria via LeMat-Bulk
Functional: PBE
Structure: optimized geometry

The value obtained for the theoretical density is 4.330 g cm⁻³. Its formation enthalpy at 0 K is -0.0088 eV per atom. The calculation puts the total magnetization at 0.000 μB per formula unit.

CIF file:
```
data_Ba8Ni2Ir
_space_group_name_H-M_alt 'C 1 2/m 1'
_space_group_IT_number 12
_space_group_name_Hall '-C 2y'
_cell_length_a 14.789
_cell_length_b 8.546
_cell_length_c 8.546
_cell_angle_alpha 90.00
_cell_angle_beta 90.04
_cell_angle_gamma 90.00
loop_
_atom_site_label
_atom_site_fract_x
_atom_site_fract_y
_atom_site_fract_z
Ba1 0.033 0.240 0.245
Ba2 0.195 0.000 0.621
Ba3 0.228 0.500 0.902
Ni1 0.077 0.000 0.965
Ir1 0.000 0.000 0.500
```

Compound: BaNiIr
Source: Alexandria via LeMat-Bulk
Functional: PBE
Structure: optimized geometry

The excess energy over the best structure of this formula in the dataset is 21.19 kJ/mol of atoms. The value obtained for the theoretical density is 9.831 g cm⁻³. Its formation enthalpy at 0 K is 0.2483 eV per atom. The calculation puts the total magnetization at 0.498 μB per formula unit.

CIF file:
```
data_BaNiIr
_space_group_name_H-M_alt 'I 4 m m'
_space_group_IT_number 107
_space_group_name_Hall 'I 4 -2'
_cell_length_a 3.460
_cell_length_b 3.460
_cell_length_c 10.953
_cell_angle_alpha 90.00
_cell_angle_beta 90.00
_cell_angle_gamma 90.00
loop_
_atom_site_label
_atom_site_fract_x
_atom_site_fract_y
_atom_site_fract_z
Ba1 0.000 0.000 0.000
Ni1 0.000 0.000 0.271
Ir1 0.000 0.000 0.721
```

Compound: Ba2NiIr
Source: Alexandria via LeMat-Bulk
Functional: PBE
Structure: optimized geometry

The excess energy over the best structure of this formula in the dataset is 46.13 kJ/mol of atoms. The value obtained for the theoretical density is 7.848 g cm⁻³. Its formation enthalpy at 0 K is 0.3253 eV per atom. The calculation puts the total magnetization at 0.515 μB per formula unit.

CIF file:
```
data_Ba2NiIr
_space_group_name_H-M_alt 'P m m m'
_space_group_IT_number 47
_space_group_name_Hall '-P 2 2'
_cell_length_a 3.607
_cell_length_b 3.963
_cell_length_c 7.778
_cell_angle_alpha 90.00
_cell_angle_beta 90.00
_cell_angle_gamma 90.00
loop_
_atom_site_label
_atom_site_fract_x
_atom_site_fract_y
_atom_site_fract_z
Ba1 0.000 0.000 0.242
Ni1 0.500 0.500 0.500
Ir1 0.500 0.500 0.000
```

Compound: Ba2NiIr
Source: Alexandria via LeMat-Bulk
Functional: PBE
Structure: optimized geometry

The excess energy over the best structure of this formula in the dataset is 12.90 kJ/mol of atoms. The value obtained for the theoretical density is 5.769 g cm⁻³. Its formation enthalpy at 0 K is -0.0192 eV per atom. The calculation puts the total magnetization at 0.396 μB per formula unit.

CIF file:
```
data_Ba2NiIr
_space_group_name_H-M_alt 'I m m 2'
_space_group_IT_number 44
_space_group_name_Hall 'I 2 -2'
_cell_length_a 4.389
_cell_length_b 4.472
_cell_length_c 15.413
_cell_angle_alpha 90.00
_cell_angle_beta 90.00
_cell_angle_gamma 90.00
loop_
_atom_site_label
_atom_site_fract_x
_atom_site_fract_y
_atom_site_fract_z
Ba1 0.000 0.000 0.000
Ba2 0.000 0.500 0.270
Ni1 0.000 0.500 0.857
Ir1 0.000 0.000 0.408
```

Compound: BaNiIr
Source: Alexandria via LeMat-Bulk
Functional: PBE
Structure: optimized geometry

The excess energy over the best structure of this formula in the dataset is 0.00 kJ/mol of atoms. The value obtained for the theoretical density is 8.908 g cm⁻³. Its formation enthalpy at 0 K is 0.0286 eV per atom. The calculation puts the total magnetization at 0.868 μB per formula unit.

CIF file:
```
data_BaNiIr
_space_group_name_H-M_alt 'P -6 m 2'
_space_group_IT_number 187
_space_group_name_Hall 'P -6 2'
_cell_length_a 4.1563
_cell_length_b 4.1563
_cell_length_c 4.8376
_cell_angle_alpha 90.00
_cell_angle_beta 90.00
_cell_angle_gamma 120.00
loop_
_atom_site_label
_atom_site_fract_x
_atom_site_fract_y
_atom_site_fract_z
Ba1 0.0000 0.0000 0.0000
Ni1 0.3333 0.6667 0.5000
Ir1 0.6667 0.3333 0.5000
```

Compound: Ba2NiIr
Source: Alexandria via LeMat-Bulk
Functional: PBE
Structure: optimized geometry

The excess energy over the best structure of this formula in the dataset is 38.33 kJ/mol of atoms. The value obtained for the theoretical density is 7.367 g cm⁻³. Its formation enthalpy at 0 K is 0.2444 eV per atom. The calculation puts the total magnetization at 0.437 μB per formula unit.

CIF file:
```
data_Ba2NiIr
_space_group_name_H-M_alt 'P 4 m m'
_space_group_IT_number 99
_space_group_name_Hall 'P 4 -2'
_cell_length_a 3.569
_cell_length_b 3.569
_cell_length_c 9.301
_cell_angle_alpha 90.00
_cell_angle_beta 90.00
_cell_angle_gamma 90.00
loop_
_atom_site_label
_atom_site_fract_x
_atom_site_fract_y
_atom_site_fract_z
Ba1 0.000 0.000 0.000
Ba2 0.500 0.500 0.446
Ni1 0.500 0.500 0.752
Ir1 0.000 0.000 0.689
```

Compound: BaNiIr
Source: Alexandria via LeMat-Bulk
Functional: PBE
Structure: optimized geometry

The excess energy over the best structure of this formula in the dataset is 67.13 kJ/mol of atoms. The value obtained for the theoretical density is 9.044 g cm⁻³. Its formation enthalpy at 0 K is 0.7243 eV per atom. The calculation puts the total magnetization at 1.160 μB per formula unit.

CIF file:
```
data_BaNiIr
_space_group_name_H-M_alt 'F -4 3 m'
_space_group_IT_number 216
_space_group_name_Hall 'F -4 2 3'
_cell_length_a 6.582
_cell_length_b 6.582
_cell_length_c 6.582
_cell_angle_alpha 90.00
_cell_angle_beta 90.00
_cell_angle_gamma 90.00
loop_
_atom_site_label
_atom_site_fract_x
_atom_site_fract_y
_atom_site_fract_z
Ba1 0.000 0.000 0.000
Ni1 0.250 0.250 0.250
Ir1 0.000 0.000 0.500
```